KLaZr2 (PBE-GGA, optimized geometry); relative energy among the computed polymorphs = 2.02 eV per formula unit; energy of formation = 3.3 eV/f.u.; space-group type = No. 123; total magnetization = 0.00 μB per cell; DOS at the Fermi energy = 6.3 states/eV/cell
1.0
-3.649 -1.266 -3.833
-2.511 -2.318 3.156
-2.367 3.885 0.970
Zr K La
2 1 1
direct
0.000 0.500 0.500
0.000 0.000 0.000
0.500 0.500 0.000
0.500 0.000 0.500

=====

HoTmSn (PBE-GGA, optimized geometry); relative energy among the computed polymorphs = 0.71 eV per formula unit; energy of formation = -1.0 eV/f.u.; space-group type = No. 156; total magnetization = 0.00 μB per cell; DOS at the Fermi energy = 2.9 states/eV/cell
1.0
-3.095 0.255 2.100
-1.231 -4.789 -1.232
2.866 0.916 4.113
Sn Tm Ho
1 1 1
direct
0.680 0.667 0.333
0.936 0.000 0.000
0.384 0.333 0.667

=====

CaBeWI2 (PBE-GGA, optimized geometry); space-group type = No. 123; E = -3.551 eV per atom; total magnetization = 1.77 μB per cell; DOS at the Fermi energy = 4.5 states/eV/cell
1.0
5.243 0.000 0.000
0.000 4.528 0.000
0.000 0.000 5.243
W Be I Ca
1 1 2 1
direct
0.000 0.500 0.000
0.000 0.000 0.000
0.500 0.000 0.000
0.000 0.000 0.500
0.500 0.500 0.500